Entry a
Entry from Alexandria: PmCuTe after structural relaxation (PBE).

* V: 149.9 Å³ per cell

a b c (Å): 4.0329 4.0329 9.2156
angles (deg): 90.00 90.00 90.00
Last column: nearest neighbours and their distance in Å.
Space group I4mm (No. 107)
One atom of each set of equivalent atoms:
Pm 0.0000 0.0000 0.0000 (multiplicity 2)  5 Cu 3.08-3.23, 5 Te 3.15-3.20
Cu 0.0000 0.0000 0.6657 (multiplicity 2)  5 Te 2.98-3.28, 5 Pm 3.08-3.23
Te 0.0000 0.0000 0.3423 (multiplicity 2)  5 Cu 2.98-3.28, 5 Pm 3.15-3.20

---

Entry b
Entry from Alexandria: PmCuTe after structural relaxation (PBE).

* V: 72.3 Å³ per cell

a b c (Å): 4.3559 4.3559 4.3990
angles (deg): 90.00 90.00 120.00
Last column: nearest neighbours and their distance in Å.
Space group P3m1 (No. 156)
One atom of each set of equivalent atoms:
Pm 0.0000 0.0000 0.0000 (multiplicity 1)  3 Cu 2.89
Cu 0.3333 0.6667 0.3238 (multiplicity 1)  3 Te 2.66, 3 Pm 2.89
Te 0.6667 0.3333 0.5231 (multiplicity 1)  3 Cu 2.66

---

Entry c
Entry from Alexandria: PmCuTe after structural relaxation (PBE).

* V: 160.1 Å³ per cell

a b c (Å): 4.1595 5.7771 6.6613
angles (deg): 90.00 90.00 90.00
Last column: nearest neighbours and their distance in Å.
Space group Pmn2_1 (No. 31)
One atom of each set of equivalent atoms:
Pm 0.0000 0.1262 0.0000 (multiplicity 2)  3 Cu 3.00-3.02, 4 Te 3.14-3.22
Cu 0.0000 0.6748 0.7786 (multiplicity 2)  3 Te 2.79-2.80, 3 Pm 3.00-3.02
Te 0.0000 0.6327 0.1971 (multiplicity 2)  3 Cu 2.79-2.80

---

According to the calculations, the structures order from most to least stable as entry b, entry c, entry a.

---

Entry a
Entry from Alexandria: PmThCu after structural relaxation (PBE).

* V: 159.0 Å³ per cell

a b c (Å): 3.6107 3.6107 12.1925
angles (deg): 90.00 90.00 90.00
Last column: nearest neighbours and their distance in Å.
Space group I4mm (No. 107)
One atom of each set of equivalent atoms:
Pm 0.0000 0.0000 0.0000 (multiplicity 2)  4 Cu 3.16, 1 Th 3.54
Th 0.0000 0.0000 0.2902 (multiplicity 2)  4 Cu 3.05
Cu 0.0000 0.0000 0.6534 (multiplicity 2)  4 Th 3.05, 4 Pm 3.16

---

Entry b
Entry from Alexandria: PmThCu after structural relaxation (PBE).

* V: 77.1 Å³ per cell

a b c (Å): 4.8918 4.8918 3.7220
angles (deg): 90.00 90.00 120.00
Last column: nearest neighbours and their distance in Å.
Space group P3m1 (No. 156)
One atom of each set of equivalent atoms:
Pm 0.0000 0.0000 0.0000 (multiplicity 1)  3 Cu 3.06, 3 Th 3.22
Th 0.6667 0.3333 0.5848 (multiplicity 1)  3 Cu 3.00, 3 Pm 3.22
Cu 0.3333 0.6667 0.3138 (multiplicity 1)  3 Th 3.00, 3 Pm 3.06

---

According to the calculations, the structures order from most to least stable as entry a, entry b.

---

Entry a
Entry from Alexandria: PmTiCu2 after structural relaxation (PBE).

* V: 301.0 Å³ per cell

a b c (Å): 6.7019 6.7019 6.7019
angles (deg): 90.00 90.00 90.00
Last column: nearest neighbours and their distance in Å.
Space group Fm-3m (No. 225)
One atom of each set of equivalent atoms:
Pm 0.0000 0.0000 0.0000 (multiplicity 4)  8 Cu 2.90
Ti 0.0000 0.0000 0.5000 (multiplicity 4)  8 Cu 2.90
Cu 0.2500 0.2500 0.2500 (multiplicity 8)  4 Pm 2.90, 4 Ti 2.90

---

Entry b
Entry from Alexandria: PmTiCu2 after structural relaxation (PBE).

* V: 74.3 Å³ per cell

a b c (Å): 4.7078 4.7078 3.3501
angles (deg): 90.00 90.00 90.00
Last column: nearest neighbours and their distance in Å.
Space group P4/mmm (No. 123)
One atom of each set of equivalent atoms:
Pm 0.0000 0.0000 0.0000 (multiplicity 1)  8 Cu 2.89
Ti 0.5000 0.5000 0.0000 (multiplicity 1)  8 Cu 2.89
Cu 0.0000 0.5000 0.5000 (multiplicity 2)  4 Pm 2.89, 4 Ti 2.89

---

According to the calculations, the structures order from most to least stable as entry a, entry b.

---

Entry a
Entry from Alexandria: Pm4TlCu3 after structural relaxation (PBE).

* V: 200.3 Å³ per cell

a b c (Å): 3.8394 4.6447 11.2343
angles (deg): 90.00 90.00 90.00
Last column: nearest neighbours and their distance in Å.
Space group Pmm2 (No. 25)
One atom of each set of equivalent atoms:
Pm 0.0000 0.0000 0.0000 (multiplicity 1)  6 Cu 2.92-3.11
Pm 0.0000 0.5000 0.2669 (multiplicity 1)  7 Cu 2.95-3.12
Pm 0.5000 0.0000 0.4658 (multiplicity 1)  5 Cu 3.04-3.14, 2 Tl 3.25
Pm 0.5000 0.5000 0.7909 (multiplicity 1)  3 Cu 3.11-3.37, 4 Tl 3.18
Tl 0.0000 0.0000 0.6993 (multiplicity 1)  2 Cu 2.90, 6 Pm 3.18-3.25
Cu 0.0000 0.5000 0.5443 (multiplicity 1)  2 Tl 2.90, 5 Pm 3.12-3.14
Cu 0.5000 0.0000 0.1953 (multiplicity 1)  2 Cu 2.73, 3 Pm 2.92-3.04
Cu 0.5000 0.5000 0.0678 (multiplicity 1)  2 Cu 2.73, 2 Pm 2.95

---

Entry b
Entry from Alexandria: Pm4TlCu3 after structural relaxation (PBE).

* V: 585.9 Å³ per cell

a b c (Å): 5.1732 5.1732 25.2823
angles (deg): 90.00 90.00 120.00
Last column: nearest neighbours and their distance in Å.
Space group R-3m (No. 166, hexagonal axes)
One atom of each set of equivalent atoms:
Pm 0.0000 0.0000 0.1175 (multiplicity 6)  5 Cu 2.97-3.23, 3 Tl 3.23
Pm 0.0000 0.0000 0.3684 (multiplicity 6)  7 Cu 3.11-3.27, 1 Tl 3.33, 3 Pm 3.47
Tl 0.0000 0.0000 0.5000 (multiplicity 3)  8 Pm 3.23-3.33, 6 Cu 3.59
Cu 0.0000 0.0000 0.0000 (multiplicity 3)  8 Pm 2.97-3.12
Cu 0.0000 0.0000 0.2454 (multiplicity 6)  8 Pm 3.08-3.27

---

According to the calculations, the structures order from most to least stable as entry b, entry a.